No. 1
DFT (meta-GGA SCAN) results for a PBEsol-optimized structure of BaZnHg.

For the total moment, the calculation gives 0.0 μB per formula unit. The theoretical density comes out at 7.22 g/cm3. As for the total energy: -40.616 eV per atom. The value obtained for the offset from the most stable computed form is 0.256 eV/atom.

Cell: 7.184 7.184 7.184 Å, 90.00 90.00 90.00°
Fractional coordinates of all 12 atoms:
Ba 0.000 0.000 0.000
Ba 0.000 0.500 0.500
Ba 0.500 0.000 0.500
Ba 0.500 0.500 0.000
Zn 0.250 0.250 0.750
Zn 0.250 0.750 0.250
Zn 0.750 0.250 0.250
Zn 0.750 0.750 0.750
Hg 0.000 0.000 0.500
Hg 0.000 0.500 0.000
Hg 0.500 0.000 0.000
Hg 0.500 0.500 0.500


No. 2
DFT (meta-GGA SCAN) results for a PBEsol-optimized structure of Ba2ZnHg.

For the total moment, the calculation gives 0.0 μB per formula unit. The theoretical density comes out at 6.73 g/cm3. As for the total energy: -40.618 eV per atom.

Cell: 8.112 8.112 8.112 Å, 90.00 90.00 90.00°
Fractional coordinates of all 16 atoms:
Ba 0.250 0.250 0.250
Ba 0.250 0.250 0.750
Ba 0.250 0.750 0.250
Ba 0.250 0.750 0.750
Ba 0.750 0.250 0.250
Ba 0.750 0.250 0.750
Ba 0.750 0.750 0.250
Ba 0.750 0.750 0.750
Zn 0.000 0.000 0.000
Zn 0.000 0.500 0.500
Zn 0.500 0.000 0.500
Zn 0.500 0.500 0.000
Hg 0.000 0.000 0.500
Hg 0.000 0.500 0.000
Hg 0.500 0.000 0.000
Hg 0.500 0.500 0.500


No. 3
DFT (meta-GGA SCAN) results for a PBEsol-optimized structure of BaZnHg.

For the total moment, the calculation gives 0.0 μB per formula unit. The theoretical density comes out at 7.72 g/cm3. As for the total energy: -40.872 eV per atom. The value obtained for the offset from the most stable computed form is 0.000 eV/atom.

Cell: 4.788 4.788 4.371 Å, 90.00 90.00 120.00°
Fractional coordinates of all 3 atoms:
Ba 0.000 0.000 0.000
Zn 0.667 0.333 0.500
Hg 0.333 0.667 0.500


No. 4
DFT (meta-GGA SCAN) results for a PBEsol-optimized structure of BaZr2Hg.

For the total moment, the calculation gives 0.0 μB per formula unit. The theoretical density comes out at 8.62 g/cm3. As for the total energy: -41.901 eV per atom.

Cell: 4.651 4.651 4.635 Å, 90.00 90.00 90.00°
Fractional coordinates of all 4 atoms:
Ba 0.000 0.000 0.000
Zr 0.000 0.500 0.500
Zr 0.500 0.000 0.500
Hg 0.500 0.500 0.000


No. 5
DFT (meta-GGA SCAN) results for a PBEsol-optimized structure of BaZr2Hg.

For the total moment, the calculation gives 0.0 μB per formula unit. The theoretical density comes out at 8.00 g/cm3. As for the total energy: -42.327 eV per atom.

Cell: 3.402 3.402 9.335 Å, 90.00 90.00 90.00°
Fractional coordinates of all 4 atoms:
Ba 0.000 0.000 0.000
Zr 0.000 0.000 0.461
Zr 0.500 0.500 0.667
Hg 0.500 0.500 0.269


No. 6
DFT (meta-GGA SCAN) results for a PBEsol-optimized structure of BaZr2Hg.

For the total moment, the calculation gives 0.0 μB per formula unit. The theoretical density comes out at 9.19 g/cm3. As for the total energy: -41.834 eV per atom.

Cell: 7.453 7.463 3.379 Å, 90.00 90.00 90.00°
Fractional coordinates of all 8 atoms:
Ba 0.000 0.000 0.000
Ba 0.500 0.500 0.000
Zr 0.250 0.250 0.500
Zr 0.250 0.750 0.500
Zr 0.750 0.250 0.500
Zr 0.750 0.750 0.500
Hg 0.000 0.500 0.000
Hg 0.500 0.000 0.000


Number 1: ΔH_f (0 K) -206 meV per atom. Number 2: ΔH_f (0 K) -423 meV per atom. Number 3: ΔH_f (0 K) -462 meV per atom. Number 4: ΔH_f (0 K) 377 meV per atom. Number 5: ΔH_f (0 K) -49 meV per atom. Number 6: ΔH_f (0 K) 445 meV per atom.